Entry 1:
12
Lattice="-2.4091 0.1182 -6.5583 3.4186 -0.9170 -1.2723 -1.3384 -9.2782 3.0910" Properties=species:S:1:pos:R:3 comment="PBE-GGA GaP2, relaxed" magmom_total_mub_per_cell=0.0 spacegroup=Cm de_polymorph_ev_per_fu=0.200 formation_enthalpy_0k_ev_per_atom=-0.033 pbc="T T T"
P -0.1356 -2.2458 -4.3050
P -1.8485 -8.9280 1.4679
P 0.5300 -4.7474 -0.7137
P -2.5141 -6.4264 -2.1234
P -2.4791 -4.6149 -3.3348
P -0.1005 -0.4344 -5.5165
P -0.2880 -6.6480 -1.5417
P -1.3281 -1.5505 -2.4510
Ga -0.9346 -2.9126 -0.4119
Ga 0.1055 -8.0102 0.4974
Ga -2.4212 -0.6521 -6.0356
Ga -1.3811 -5.7497 -5.1262

---

Entry 2:
12
Lattice="-4.6446 1.9663 0.0247 -1.6288 -3.8143 -2.6436 -0.7392 -6.1598 9.3431" Properties=species:S:1:pos:R:3 comment="PBE-GGA GaP2, relaxed" magmom_total_mub_per_cell=0.0 spacegroup=C2 de_polymorph_ev_per_fu=0.000 formation_enthalpy_0k_ev_per_atom=-0.100 pbc="T T T"
P -4.7188 -2.2300 5.8624
P -4.6142 -4.4049 6.2431
P -1.8218 -2.2525 1.4170
P -3.0058 -7.2395 4.7668
P -5.1636 -1.0573 -0.1309
P -1.9425 -7.1694 6.7034
P -0.7585 -2.1824 3.3536
P -5.0590 -3.2321 0.2498
Ga -4.1711 -5.2092 3.9791
Ga -2.9420 -5.2482 7.8534
Ga -3.3868 -4.0755 1.8601
Ga -2.9871 -0.2222 0.6294

---

Entry 3:
2
Lattice="-0.7742 -1.3252 3.3843 -0.5842 -3.1131 -1.9433 2.9835 2.0334 0.8794" Properties=species:S:1:pos:R:3 comment="PBE-GGA GaP, relaxed" magmom_total_mub_per_cell=0.0 spacegroup=Imm2 de_polymorph_ev_per_fu=0.947 formation_enthalpy_0k_ev_per_atom=0.063 pbc="T T T"
Ga -0.2853 -2.3964 0.5459
P 2.1978 -0.9891 -0.9745

---

Entry 4:
12
Lattice="-0.2790 3.6043 -1.4561 -4.9433 0.8789 3.1228 6.4836 4.1735 9.0886" Properties=species:S:1:pos:R:3 comment="PBE-GGA GaP, relaxed" magmom_total_mub_per_cell=0.0 spacegroup=Pmmn de_polymorph_ev_per_fu=0.270 formation_enthalpy_0k_ev_per_atom=-0.275 pbc="T T T"
P 0.1498 2.5516 1.0718
P 4.6835 5.4700 7.4271
P -1.9908 2.2162 5.8673
P 1.2849 4.2120 4.9643
P -0.0409 3.4713 8.6006
P -3.1259 0.5558 1.9747
Ga 1.6772 3.3628 2.7871
Ga 0.2953 2.6106 6.4057
Ga 3.5749 4.5843 5.4472
Ga 1.0677 4.3570 10.5805
Ga -2.1363 2.1572 0.5334
Ga -3.5182 1.4050 4.1520

---

Entry 5:
4
Lattice="2.6059 0.0000 0.1669 0.0000 4.5967 0.0000 -0.9096 0.0000 6.5983" Properties=species:S:1:pos:R:3 comment="PBE-GGA GaP, relaxed" magmom_total_mub_per_cell=0.0 spacegroup=Cm de_polymorph_ev_per_fu=1.066 formation_enthalpy_0k_ev_per_atom=0.123 pbc="T T T"
Ga -0.1277 0.0000 6.5113
Ga 0.3271 2.2983 3.2121
P 0.0193 2.2983 5.6223
P 0.4740 0.0000 2.3232

---

Entry 6:
16
Lattice="-5.8939 8.7809 -0.5207 -2.7368 -2.4262 -9.9367 -3.0966 -1.9990 1.3409" Properties=species:S:1:pos:R:3 comment="PBE-GGA GaP, relaxed" magmom_total_mub_per_cell=0.0 spacegroup=P4/m de_polymorph_ev_per_fu=0.507 formation_enthalpy_0k_ev_per_atom=-0.157 pbc="T T T"
Ga -4.9026 1.5203 -9.0552
Ga -4.5855 -0.6013 -5.7498
Ga -7.1418 4.9571 -3.3667
Ga -1.7985 -0.0445 -4.2197
Ga -7.4211 2.6816 -7.4039
Ga -6.8322 6.3993 -6.2377
Ga -4.3062 1.6741 -1.7125
Ga -3.7281 4.8345 -1.4022
P -2.2471 2.7155 -1.1412
P -5.7127 3.6781 -1.9731
P -2.3900 -0.7570 -6.6475
P -7.6941 4.2705 -5.6658
P -6.0146 0.6776 -7.1433
P -6.2407 7.1117 -3.8099
P -4.0332 0.0853 -3.4507
P -6.3836 3.6393 -9.3162

---

Entry 7:
12
Lattice="-2.5529 0.2423 -4.1466 -0.8477 -6.4438 0.1454 -6.2082 0.9157 4.3916" Properties=species:S:1:pos:R:3 comment="PBE-GGA GaP2, relaxed" magmom_total_mub_per_cell=0.0 spacegroup=C2 de_polymorph_ev_per_fu=0.175 formation_enthalpy_0k_ev_per_atom=-0.042 pbc="T T T"
P -5.2133 -0.8900 1.0580
P -2.5330 -4.5697 -1.0652
P -3.9613 -1.0953 -0.7420
P -8.5324 -5.3332 0.2928
P -5.0044 -2.5691 -1.9757
P -1.8991 -6.2070 0.2386
P -7.4892 -3.8593 1.5264
P -4.5794 -2.5272 2.3618
Ga -1.7126 -2.2949 -0.1127
Ga -5.2405 -5.0589 2.1558
Ga -5.0190 -5.1740 -1.6538
Ga -7.6993 -1.4942 0.4693

---

Entry 8:
8
Lattice="6.7202 0.0000 0.0000 0.0000 6.7202 0.0000 0.0000 0.0000 3.8913" Properties=species:S:1:pos:R:3 comment="PBE-GGA GaP, relaxed" magmom_total_mub_per_cell=0.0 spacegroup=P4_2/mnm de_polymorph_ev_per_fu=0.150 formation_enthalpy_0k_ev_per_atom=-0.335 pbc="T T T"
Ga 1.1838 5.5364 1.9457
Ga 2.1763 2.1763 0.0000
Ga 5.5364 1.1838 1.9457
Ga 4.5440 4.5440 0.0000
P 2.1346 4.5857 0.0000
P 5.4947 5.4947 1.9457
P 4.5857 2.1346 0.0000
P 1.2256 1.2256 1.9457

---

Entry 9:
4
Lattice="3.6750 0.0000 0.0000 1.8375 3.1827 0.0000 1.8375 1.0609 7.9506" Properties=species:S:1:pos:R:3 comment="PBE-GGA Pa2GaP, relaxed" magmom_total_mub_per_cell=0.0 spacegroup=R-3m formation_enthalpy_0k_ev_per_atom=-0.594 pbc="T T T"
Pa 5.5126 3.1827 6.2019
Pa 1.8375 1.0609 1.7487
Ga 3.6750 2.1218 3.9753
P 0.0000 0.0000 0.0000

---

Entry 10:
8
Lattice="-3.7821 1.8392 3.8147 -1.9209 -5.3031 0.6524 3.7742 -0.8559 4.1547" Properties=species:S:1:pos:R:3 comment="PBE-GGA Pa4GaP3, relaxed" magmom_total_mub_per_cell=0.0 spacegroup=Pm-3m formation_enthalpy_0k_ev_per_atom=-0.952 pbc="T T T"
Pa -0.9644 -2.1599 4.3109
Pa -1.8910 0.9196 1.9073
Pa 1.8871 -0.4280 2.0773
Pa -0.9604 -2.6516 0.3262
P -0.0039 0.4916 3.9847
P -2.8515 -1.7319 2.2336
P 0.9267 -3.0795 2.4035
Ga 0.0000 0.0000 0.0000

---

Entry 11:
4
Lattice="-1.4591 3.4003 2.8021 0.1029 -2.5230 3.1153 3.8054 1.0415 0.7178" Properties=species:S:1:pos:R:3 comment="PBE-GGA PaGa2P, relaxed" magmom_total_mub_per_cell=0.0 spacegroup=P4/mmm formation_enthalpy_0k_ev_per_atom=-0.593 pbc="T T T"
Pa -0.7296 1.7002 1.4010
P 1.2246 0.9594 3.3175
Ga 1.9027 0.5207 0.3589
Ga 0.0515 -1.2615 1.5576

---

Entry 12:
4
Lattice="-2.4369 -2.3965 -1.3157 2.9112 -1.3026 -3.0196 1.5080 -3.0551 2.7717" Properties=species:S:1:pos:R:3 comment="PBE-GGA PaGaP2, relaxed" magmom_total_mub_per_cell=0.0 spacegroup=P4/mmm de_polymorph_ev_per_fu=0.000 formation_enthalpy_0k_ev_per_atom=-0.748 pbc="T T T"
P 1.4556 -0.6513 -1.5098
P 0.7540 -1.5275 1.3859
Ga 0.9912 -3.3771 -0.7818
Pa -1.2185 -1.1983 -0.6578